Entry 1:
! TiCr2Ag2 (PBE, optimized geometry); values from VASP
&SYSTEM
  ibrav = 0, nat = 10, ntyp = 3
/
ATOMIC_SPECIES
Ti 47.87 Ti.upf
Cr 52.00 Cr.upf
Ag 107.87 Ag.upf
ATOMIC_POSITIONS crystal
Ti 0.000 0.000 0.000
Ti 0.500 0.500 0.000
Cr 0.166 0.334 0.500
Cr 0.334 0.834 0.500
Cr 0.666 0.166 0.500
Cr 0.834 0.666 0.500
Ag 0.133 0.633 0.000
Ag 0.367 0.133 0.000
Ag 0.633 0.867 0.000
Ag 0.867 0.367 0.000
CELL_PARAMETERS angstrom
7.521 0.000 0.000
0.000 7.521 0.000
0.000 0.000 3.122
! - Offset from the most stable computed form: 48 meV/atom
! - DOS at the Fermi energy: 6.91 states/eV/cell
! - Calculated formation energy: 289.8 kJ/mol of formula units

Entry 2:
! Ho2ScB2Rh5 (PBE, optimized geometry); values from VASP
&SYSTEM
  ibrav = 0, nat = 20, ntyp = 4
/
ATOMIC_SPECIES
Ho 164.93 Ho.upf
Sc 44.96 Sc.upf
B 10.81 B.upf
Rh 102.91 Rh.upf
ATOMIC_POSITIONS crystal
Ho 0.175 0.325 0.000
Ho 0.325 0.825 0.000
Ho 0.675 0.175 0.000
Ho 0.825 0.675 0.000
Sc 0.000 0.000 0.000
Sc 0.500 0.500 0.000
B 0.122 0.622 0.000
B 0.378 0.122 0.000
B 0.622 0.878 0.000
B 0.878 0.378 0.000
Rh 0.000 0.500 0.500
Rh 0.071 0.775 0.500
Rh 0.225 0.071 0.500
Rh 0.275 0.571 0.500
Rh 0.429 0.275 0.500
Rh 0.500 0.000 0.500
Rh 0.571 0.725 0.500
Rh 0.725 0.429 0.500
Rh 0.775 0.929 0.500
Rh 0.929 0.225 0.500
CELL_PARAMETERS angstrom
9.686 0.000 0.000
0.000 9.686 0.000
0.000 0.000 3.196
! - DOS at the Fermi energy: 6.51 states/eV/cell
! - Calculated formation energy: -832.7 kJ/mol of formula units

Entry 3:
! LaTaW2 (PBE, optimized geometry); values from VASP
&SYSTEM
  ibrav = 0, nat = 4, ntyp = 3
/
ATOMIC_SPECIES
La 138.91 La.upf
Ta 180.95 Ta.upf
W 183.84 W.upf
ATOMIC_POSITIONS crystal
La 0.000 0.000 0.000
Ta 0.500 0.000 0.500
W 0.234 0.500 0.684
W 0.766 0.500 0.316
CELL_PARAMETERS angstrom
2.893 0.000 0.000
0.000 4.512 0.000
-1.255 0.000 6.478
! - Offset from the most stable computed form: 177 meV/atom
! - DOS at the Fermi energy: 4.25 states/eV/cell
! - Calculated formation energy: 215.1 kJ/mol of formula units

Entry 4:
! FeSbIr3 (PBE, optimized geometry); values from VASP
&SYSTEM
  ibrav = 0, nat = 5, ntyp = 3
/
ATOMIC_SPECIES
Fe 55.84 Fe.upf
Sb 121.76 Sb.upf
Ir 192.22 Ir.upf
ATOMIC_POSITIONS crystal
Fe 0.000 0.000 0.000
Sb 0.500 0.500 0.500
Ir 0.000 0.000 0.500
Ir 0.000 0.500 0.000
Ir 0.500 0.000 0.000
CELL_PARAMETERS angstrom
4.513 0.000 0.000
0.000 4.513 0.000
0.000 0.000 4.513
! - ΔE_f (raw): 1.2239 eV per atom
! - Offset from the most stable computed form: 0 meV/atom
! - DOS at the Fermi energy: 7.47 states/eV/cell

Entry 5:
! Sr2Bi2Au (PBE, optimized geometry); values from VASP
&SYSTEM
  ibrav = 0, nat = 5, ntyp = 3
/
ATOMIC_SPECIES
Sr 87.62 Sr.upf
Bi 208.98 Bi.upf
Au 196.97 Au.upf
ATOMIC_POSITIONS crystal
Sr 0.250 0.750 0.500
Sr 0.750 0.250 0.500
Bi 0.182 0.182 0.000
Bi 0.818 0.818 0.000
Au 0.500 0.500 0.000
CELL_PARAMETERS angstrom
-3.304 3.304 4.483
3.304 -3.304 4.483
3.304 3.304 -4.483
! - Offset from the most stable computed form: 258 meV/atom
! - DOS at the Fermi energy: 2.89 states/eV/cell
! - Calculated formation energy: -222.2 kJ/mol of formula units

Entry 6:
! Pm4HoTh (PBE, optimized geometry); values from VASP
&SYSTEM
  ibrav = 0, nat = 6, ntyp = 3
/
ATOMIC_SPECIES
Pm 145.00 Pm.upf
Ho 164.93 Ho.upf
Th 232.04 Th.upf
ATOMIC_POSITIONS crystal
Pm 0.233 0.767 0.000
Pm 0.263 0.263 0.500
Pm 0.737 0.737 0.500
Pm 0.767 0.233 0.000
Ho 0.000 0.000 0.500
Th 0.500 0.500 0.000
CELL_PARAMETERS angstrom
5.846 -5.978 0.000
5.846 5.978 0.000
0.000 0.000 3.446
! - Offset from the most stable computed form: 600 meV/atom
! - DOS at the Fermi energy: 10.55 states/eV/cell
! - Calculated formation energy: 371.4 kJ/mol of formula units

Entry 7:
! Na2Sr17 (PBE, optimized geometry); values from VASP
&SYSTEM
  ibrav = 0, nat = 19, ntyp = 2
/
ATOMIC_SPECIES
Na 22.99 Na.upf
Sr 87.62 Sr.upf
ATOMIC_POSITIONS crystal
Na 0.210 0.210 0.210
Na 0.790 0.790 0.790
Sr 0.000 0.500 0.500
Sr 0.159 0.159 0.653
Sr 0.159 0.653 0.159
Sr 0.192 0.500 0.808
Sr 0.192 0.808 0.500
Sr 0.347 0.841 0.841
Sr 0.407 0.407 0.407
Sr 0.500 0.000 0.500
Sr 0.500 0.192 0.808
Sr 0.500 0.500 0.000
Sr 0.500 0.808 0.192
Sr 0.593 0.593 0.593
Sr 0.653 0.159 0.159
Sr 0.808 0.192 0.500
Sr 0.808 0.500 0.192
Sr 0.841 0.347 0.841
Sr 0.841 0.841 0.347
CELL_PARAMETERS angstrom
6.868 3.965 7.074
-6.868 3.965 7.074
0.000 -7.930 7.074
! - DOS at the Fermi energy: 14.45 states/eV/cell
! - Calculated formation energy: 271.4 kJ/mol of formula units

Entry 8:
! BaLa2FeSn (PBE, optimized geometry); values from VASP
&SYSTEM
  ibrav = 0, nat = 5, ntyp = 4
/
ATOMIC_SPECIES
Ba 137.33 Ba.upf
La 138.91 La.upf
Fe 55.84 Fe.upf
Sn 118.71 Sn.upf
ATOMIC_POSITIONS crystal
Ba 0.000 0.000 0.000
La 0.000 0.500 0.000
La 0.500 0.000 0.000
Fe 0.500 0.500 0.500
Sn 0.000 0.000 0.500
CELL_PARAMETERS angstrom
5.881 0.000 0.000
0.000 5.881 0.000
0.000 0.000 5.801
! - DOS at the Fermi energy: 12.54 states/eV/cell
! - Calculated formation energy: 820.9 kJ/mol of formula units

Entry 9:
! Ba2TiO (PBE, optimized geometry); values from VASP
&SYSTEM
  ibrav = 0, nat = 8, ntyp = 3
/
ATOMIC_SPECIES
Ba 137.33 Ba.upf
Ti 47.87 Ti.upf
O 16.00 O.upf
ATOMIC_POSITIONS crystal
Ba 0.018 0.125 0.393
Ba 0.375 0.982 0.107
Ba 0.732 0.625 0.607
Ba 0.875 0.268 0.893
Ti 0.250 0.750 0.500
Ti 0.500 0.500 0.000
O 0.000 0.000 0.000
O 0.750 0.250 0.500
CELL_PARAMETERS angstrom
-3.878 3.878 4.746
3.878 -3.878 4.746
3.878 3.878 -4.746
! - ΔE_f (raw): -0.3726 eV per atom
! - Offset from the most stable computed form: 0 meV/atom
! - DOS at the Fermi energy: 1.41 states/eV/cell

Entry 10:
! NbBi2Ir (PBE, optimized geometry); values from VASP
&SYSTEM
  ibrav = 0, nat = 8, ntyp = 3
/
ATOMIC_SPECIES
Nb 92.91 Nb.upf
Bi 208.98 Bi.upf
Ir 192.22 Ir.upf
ATOMIC_POSITIONS crystal
Nb 0.000 0.000 0.000
Nb 0.750 0.250 0.500
Bi 0.164 0.625 0.039
Bi 0.375 0.414 0.539
Bi 0.586 0.125 0.961
Bi 0.875 0.836 0.461
Ir 0.250 0.750 0.500
Ir 0.500 0.500 0.000
CELL_PARAMETERS angstrom
-3.983 3.983 2.991
3.983 -3.983 2.991
3.983 3.983 -2.991
! - Offset from the most stable computed form: 290 meV/atom
! - DOS at the Fermi energy: 10.24 states/eV/cell
! - Calculated formation energy: 282.9 kJ/mol of formula units

Entry 11:
! Si3RhW (PBE, optimized geometry); values from VASP
&SYSTEM
  ibrav = 0, nat = 5, ntyp = 3
/
ATOMIC_SPECIES
Si 28.09 Si.upf
Rh 102.91 Rh.upf
W 183.84 W.upf
ATOMIC_POSITIONS crystal
Si 0.000 0.000 0.500
Si 0.000 0.500 0.000
Si 0.500 0.000 0.000
Rh 0.500 0.500 0.500
W 0.000 0.000 0.000
CELL_PARAMETERS angstrom
4.676 0.000 0.000
0.000 4.676 0.000
0.000 0.000 4.676
! - ΔE_f (raw): 0.9746 eV per atom
! - Offset from the most stable computed form: 0 meV/atom
! - DOS at the Fermi energy: 7.43 states/eV/cell

Entry 12:
! CoIr5 (PBE, optimized geometry); values from VASP
&SYSTEM
  ibrav = 0, nat = 6, ntyp = 2
/
ATOMIC_SPECIES
Co 58.93 Co.upf
Ir 192.22 Ir.upf
ATOMIC_POSITIONS crystal
Co 0.000 0.000 0.000
Ir 0.125 0.625 0.625
Ir 0.250 0.250 0.250
Ir 0.625 0.125 0.625
Ir 0.625 0.625 0.125
Ir 0.625 0.625 0.625
CELL_PARAMETERS angstrom
0.000 3.608 3.608
3.608 0.000 3.608
3.608 3.608 0.000
! - DOS at the Fermi energy: 11.65 states/eV/cell
! - Calculated formation energy: 430.9 kJ/mol of formula units

Entry 13:
! Ti6Mo2Pb (PBE, optimized geometry); values from VASP
&SYSTEM
  ibrav = 0, nat = 18, ntyp = 3
/
ATOMIC_SPECIES
Ti 47.87 Ti.upf
Mo 95.94 Mo.upf
Pb 207.20 Pb.upf
ATOMIC_POSITIONS crystal
Ti 0.029 0.246 0.783
Ti 0.202 0.296 0.498
Ti 0.202 0.704 0.906
Ti 0.333 0.035 0.702
Ti 0.333 0.631 0.298
Ti 0.463 0.246 0.217
Ti 0.537 0.754 0.783
Ti 0.667 0.369 0.702
Ti 0.667 0.965 0.298
Ti 0.798 0.296 0.094
Ti 0.798 0.704 0.502
Ti 0.971 0.754 0.217
Mo 0.135 0.635 0.500
Mo 0.329 0.000 0.329
Mo 0.671 0.000 0.671
Mo 0.865 0.365 0.500
Pb 0.000 0.000 0.000
Pb 0.500 0.500 0.000
CELL_PARAMETERS angstrom
-4.083 4.322 4.784
4.083 -4.322 4.784
4.083 4.322 -4.784
! - DOS at the Fermi energy: 23.25 states/eV/cell
! - Calculated formation energy: 157.7 kJ/mol of formula units

Entry 14:
! CaThAgRu (PBE, optimized geometry); values from VASP
&SYSTEM
  ibrav = 0, nat = 4, ntyp = 4
/
ATOMIC_SPECIES
Ca 40.08 Ca.upf
Th 232.04 Th.upf
Ag 107.87 Ag.upf
Ru 101.07 Ru.upf
ATOMIC_POSITIONS crystal
Ca 0.000 0.000 0.000
Th 0.500 0.500 0.500
Ag 0.750 0.750 0.750
Ru 0.250 0.250 0.250
CELL_PARAMETERS angstrom
0.000 3.585 3.585
3.585 0.000 3.585
3.585 3.585 0.000
! - DOS at the Fermi energy: 3.65 states/eV/cell
! - Calculated formation energy: -41.8 kJ/mol of formula units